1.
The following is a PBE calculation of an optimized crystal structure of Rb2Li2US4, from the Alexandria database.

a b c (Å): 7.7673 7.7673 7.7344
angles (deg): 108.87 108.87 30.81
Last column: nearest neighbours and their distance in Å.
Fractional positions:
Rb (0.1383, 0.1383, 0.0634)  7 S 3.43-3.54, 3 Li 3.62-3.74
Rb (0.8617, 0.8617, 0.9366)  7 S 3.43-3.54, 3 Li 3.62-3.74
Li (0.3186, 0.3186, 0.5133)  4 S 2.42-2.50
Li (0.6814, 0.6814, 0.4867)  4 S 2.42-2.50
U (0.0000, 0.0000, 0.5000)  6 S 2.71-2.75
S (0.1914, 0.1914, 0.6568)  3 Li 2.42-2.50, 1 U 2.71
S (0.4827, 0.4827, 0.7210)  1 Li 2.44
S (0.5173, 0.5173, 0.2790)  1 Li 2.44
S (0.8086, 0.8086, 0.3432)  3 Li 2.42-2.50, 1 U 2.71

The calculation puts the total energy at -5.104 eV per atom. As for the space-group type: C2/m, No. 12. Its uncorrected formation energy is -1375.2 meV/atom. The crystal system is monoclinic. The value obtained for the volume is 25.0 Å³ per atom.



2.
The following is a PBE calculation of an optimized crystal structure of VCuI3, from the Alexandria database.

a b c (Å): 5.5404 5.5404 5.5404
angles (deg): 90.00 90.00 90.00
Last column: nearest neighbours and their distance in Å.
Fractional positions:
V (0.0000, 0.0000, 0.0000)  6 I 2.77
Cu (0.5000, 0.5000, 0.5000)  12 I 3.92
I (0.0000, 0.0000, 0.5000)  2 V 2.77
I (0.0000, 0.5000, 0.0000)  2 V 2.77
I (0.5000, 0.0000, 0.0000)  2 V 2.77

The calculation puts the total energy at -3.237 eV per atom. As for the energy above the most stable polymorph in this dataset: 0 meV per atom. As for the space-group type: Pm-3m, No. 221. Its uncorrected formation energy is 336.4 meV/atom. The crystal system is cubic. The value obtained for the volume is 34.0 Å³ per atom.



3.
The following is a PBE calculation of an optimized crystal structure of Rb2ZnPbF6, from the Alexandria database.

a b c (Å): 6.3711 6.3711 6.3711
angles (deg): 60.00 60.00 60.00
Last column: nearest neighbours and their distance in Å.
Fractional positions:
Rb (0.2500, 0.2500, 0.2500)  12 F 3.19
Rb (0.7500, 0.7500, 0.7500)  12 F 3.19
Zn (0.0000, 0.0000, 0.0000)  6 F 2.07
Pb (0.5000, 0.5000, 0.5000)  6 F 2.43
F (0.2302, 0.2302, 0.7698)  1 Zn 2.07
F (0.2302, 0.7698, 0.2302)  1 Zn 2.07
F (0.2302, 0.7698, 0.7698)  1 Zn 2.07
F (0.7698, 0.2302, 0.2302)  1 Zn 2.07
F (0.7698, 0.2302, 0.7698)  1 Zn 2.07
F (0.7698, 0.7698, 0.2302)  1 Zn 2.07

The calculation puts the total energy at -4.342 eV per atom. As for the space-group type: Fm-3m, No. 225. Its uncorrected formation energy is -2527.5 meV/atom. The crystal system is cubic. The value obtained for the volume is 18.3 Å³ per atom.



4.
The following is a PBE calculation of an optimized crystal structure of Mg7Hg2Pd2, from the Alexandria database.

a b c (Å): 6.2689 6.2689 6.5912
angles (deg): 90.07 90.07 76.43
Last column: nearest neighbours and their distance in Å.
Fractional positions:
Mg (0.0000, 0.0000, 0.0000)  2 Pd 2.73
Mg (0.0001, 0.4997, 0.2633)  2 Pd 2.62
Mg (0.9999, 0.5003, 0.7367)  2 Pd 2.62
Mg (0.4997, 0.0001, 0.2633)  2 Pd 2.62
Mg (0.5003, 0.9999, 0.7367)  2 Pd 2.62
Mg (0.5001, 0.5001, 0.2361)  2 Pd 2.69, 2 Hg 2.96
Mg (0.4999, 0.4999, 0.7639)  2 Pd 2.69, 2 Hg 2.96
Hg (0.1910, 0.8090, 0.5000)  6 Mg 2.95-2.96, 1 Hg 2.96
Hg (0.8090, 0.1910, 0.5000)  6 Mg 2.95-2.96, 1 Hg 2.96
Pd (0.2775, 0.2775, 0.9998)  7 Mg 2.62-2.73
Pd (0.7225, 0.7225, 0.0002)  7 Mg 2.62-2.73

The calculation puts the total energy at -2.253 eV per atom. Its energy of formation from the pure elements is -2.632 eV/f.u. As for the space-group type: C2/m, No. 12. The crystal system is monoclinic. The value obtained for the volume is 22.9 Å³ per atom.



5.
The following is a PBE calculation of an optimized crystal structure of CrBi2Os, from the Alexandria database.

a b c (Å): 7.5171 7.5171 7.5171
angles (deg): 131.49 131.49 71.04
Last column: nearest neighbours and their distance in Å.
Fractional positions:
Cr (0.0000, 0.0000, 0.0000)  4 Bi 2.68
Cr (0.7500, 0.2500, 0.5000)  4 Bi 2.68
Bi (0.1290, 0.6250, 0.0040)  2 Os 2.65, 2 Cr 2.68
Bi (0.3750, 0.3790, 0.5040)  2 Os 2.65, 2 Cr 2.68
Bi (0.6210, 0.1250, 0.9960)  2 Os 2.65, 2 Cr 2.68
Bi (0.8750, 0.8710, 0.4960)  2 Os 2.65, 2 Cr 2.68
Os (0.2500, 0.7500, 0.5000)  4 Bi 2.65
Os (0.5000, 0.5000, 0.0000)  4 Bi 2.65

The calculation puts the total energy at -5.661 eV per atom. Its energy of formation from the pure elements is 5.973 eV/f.u. As for the energy above the most stable polymorph in this dataset: 532 meV per atom. As for the space-group type: I-42d, No. 122. The crystal system is tetragonal. The value obtained for the volume is 29.2 Å³ per atom.



6.
The following is a PBE calculation of an optimized crystal structure of CeThTe, from the Alexandria database.

a b c (Å): 6.8349 6.8349 6.8349
angles (deg): 147.08 147.08 47.24
Last column: nearest neighbours and their distance in Å.
Fractional positions:
Ce (0.0000, 0.0000, 0.0000)  4 Te 3.28
Th (0.2935, 0.2935, 0.0000)  4 Te 3.32, 1 Ce 3.68
Te (0.6434, 0.6434, 0.0000)  4 Ce 3.28, 4 Th 3.32

The calculation puts the total energy at -6.022 eV per atom. As for the energy above the most stable polymorph in this dataset: 0 meV per atom. As for the space-group type: I4mm, No. 107. Its uncorrected formation energy is -523.3 meV/atom. The crystal system is tetragonal. The value obtained for the volume is 31.3 Å³ per atom.